Record 1
## AcSm2Sb (PBE)

Data for an optimized crystal structure of AcSm2Sb.

Calculated values
Offset from the most stable computed form: 0.020 eV per atom
Formation energy from raw total energies: -0.48 eV/atom
DOS at the Fermi energy: 0.93 states/eV per atom

abc: 5.0524 5.0524 4.9271
angles: 90.00 90.00 90.00
Last column: nearest neighbours and their distance in Å.
Element x y z (fractional)
Ac  0.0000  0.0000  0.0000  8 Sm 3.53, 4 Sb 3.57
Sm  0.0000  0.5000  0.5000  4 Ac 3.53, 4 Sb 3.53, 4 Sm 3.57
Sm  0.5000  0.0000  0.5000  4 Ac 3.53, 4 Sb 3.53, 4 Sm 3.57
Sb  0.5000  0.5000  0.0000  8 Sm 3.53, 4 Ac 3.57

***

Record 2
## AcSmSb2 (PBE)

Data for an optimized crystal structure of AcSmSb2.

Calculated values
Offset from the most stable computed form: 0.000 eV per atom
Formation energy from raw total energies: -1.18 eV/atom
DOS at the Fermi energy: 0.14 states/eV per atom

abc: 8.0286 8.0286 8.0286
angles: 33.58 33.58 33.58
Last column: nearest neighbours and their distance in Å.
Element x y z (fractional)
Ac  0.0000  0.0000  0.0000  6 Sb 3.36
Sm  0.5000  0.5000  0.5000  6 Sb 3.20
Sb  0.2441  0.2441  0.2441  3 Sm 3.20, 3 Ac 3.36
Sb  0.7559  0.7559  0.7559  3 Sm 3.20, 3 Ac 3.36

***

Record 3
## AcSmSb (PBE)

Data for an optimized crystal structure of AcSmSb.

Calculated values
Offset from the most stable computed form: 0.258 eV per atom
Formation energy from raw total energies: -0.55 eV/atom
DOS at the Fermi energy: 0.95 states/eV per atom

abc: 5.3919 5.3919 5.3919
angles: 60.00 60.00 60.00
Last column: nearest neighbours and their distance in Å.
Element x y z (fractional)
Ac  0.0000  0.0000  0.0000  4 Sb 3.30
Sm  0.5000  0.5000  0.5000  4 Sb 3.30
Sb  0.7500  0.7500  0.7500  4 Ac 3.30, 4 Sm 3.30

***

Record 4
## AcSmSb (PBE)

Data for an optimized crystal structure of AcSmSb.

Calculated values
Offset from the most stable computed form: 0.328 eV per atom
Formation energy from raw total energies: -0.48 eV/atom
DOS at the Fermi energy: 1.32 states/eV per atom

abc: 5.3004 5.3004 4.3827
angles: 90.00 90.00 120.00
Last column: nearest neighbours and their distance in Å.
Element x y z (fractional)
Ac  0.0000  0.0000  0.0000  6 Sb 3.72-3.81, 6 Sm 3.76-3.77
Sm  0.6667  0.3333  0.5028  3 Sb 3.06
Sb  0.3333  0.6667  0.4814  3 Sm 3.06